DFT (PBE) results for a geometry-optimized TbAlGa2 structure.

Cell: 3.513 3.513 6.546 Å, 90.00 90.00 90.00°
Element x y z (fractional)
Tb1 0.000 0.000 0.000
Al1 0.000 0.000 0.500
Ga1 0.500 0.500 0.295
Ga2 0.500 0.500 0.705

Properties
V: 20.2 A^3/atom
Spin magnetization: 0.37 μB per formula unit
SG: P4/mmm (123)
Fermi-level density of states: 2.85 states/eV per cell
Total DFT energy (no corrections): -3.93 eV/atom